A geometry-optimized CdPbAu structure. Source: Alexandria via LeMat-Bulk, functional PBE-GGA.

## Properties
Space-group type ... P4/nmm, No. 129
V ... 24.195 A^3/atom
Crystal system ... tetragonal
Final energy ... -0.1010 hartree per atom
DOS at the Fermi energy ... 1.61 states/eV/f.u.

Lattice parameters (Å, degrees): 4.335 4.335 7.725 90.00 90.00 90.00
Element x y z (fractional)
Cd (0.250, 0.750, 0.000)
Cd (0.750, 0.250, 0.000)
Pb (0.250, 0.250, 0.359)
Pb (0.750, 0.750, 0.641)
Au (0.250, 0.250, 0.745)
Au (0.750, 0.750, 0.255)

***

A geometry-optimized Cd7PbAu5 structure. Source: Alexandria via LeMat-Bulk, functional PBE-GGA.

## Properties
Space-group type ... Imm2, No. 44
V ... 21.405 A^3/atom
Crystal system ... orthorhombic
Final energy ... -0.0797 hartree per atom
DOS at the Fermi energy ... 4.56 states/eV/f.u.

Lattice parameters (Å, degrees): 7.546 7.546 7.546 135.62 97.87 98.53
Element x y z (fractional)
Cd (0.000, 0.000, 0.000)
Cd (0.301, 0.646, 0.655)
Cd (0.307, 0.307, 0.000)
Cd (0.440, 0.137, 0.303)
Cd (0.835, 0.137, 0.697)
Cd (0.868, 0.368, 0.500)
Cd (0.991, 0.646, 0.345)
Pb (0.646, 0.646, 0.000)
Au (0.137, 0.141, 0.497)
Au (0.137, 0.640, 0.996)
Au (0.414, 0.914, 0.500)
Au (0.644, 0.141, 0.004)
Au (0.644, 0.640, 0.503)

***

A geometry-optimized Cd5Pb2Au3 structure. Source: Alexandria via LeMat-Bulk, functional PBE-GGA.

## Properties
Space-group type ... Cmc2_1, No. 36
V ... 23.828 A^3/atom
Crystal system ... orthorhombic
Final energy ... -0.0838 hartree per atom
DOS at the Fermi energy ... 2.98 states/eV/f.u.

Lattice parameters (Å, degrees): 13.953 13.953 7.594 90.00 90.00 161.19
Element x y z (fractional)
Cd (0.055, 0.945, 0.500)
Cd (0.125, 0.875, 0.130)
Cd (0.292, 0.708, 0.782)
Cd (0.296, 0.704, 0.374)
Cd (0.399, 0.601, 0.271)
Cd (0.601, 0.399, 0.771)
Cd (0.704, 0.296, 0.874)
Cd (0.708, 0.292, 0.282)
Cd (0.875, 0.125, 0.630)
Cd (0.945, 0.055, 0.000)
Pb (0.179, 0.821, 0.580)
Pb (0.478, 0.522, 0.654)
Pb (0.522, 0.478, 0.154)
Pb (0.821, 0.179, 0.080)
Au (0.045, 0.955, 0.886)
Au (0.229, 0.771, 0.077)
Au (0.391, 0.609, 0.877)
Au (0.609, 0.391, 0.377)
Au (0.771, 0.229, 0.577)
Au (0.955, 0.045, 0.386)